SrZnNiF6 | PBE+U | relaxed

Values from the calculation:
- N(E_F): 0.00 states/eV/cell
- SG: P-31c
- E_tot: -4.68 eV per atom

Lattice parameters (Å, degrees): 5.368 5.368 10.472 90.00 90.00 120.00
Sites, in units of the cell vectors:
Sr  0.000  0.000  0.000
Sr  0.000  0.000  0.500
Zn  0.333  0.667  0.250
Zn  0.667  0.333  0.750
Ni  0.333  0.667  0.750
Ni  0.667  0.333  0.250
F  0.005  0.367  0.643
F  0.005  0.638  0.857
F  0.362  0.367  0.857
F  0.362  0.995  0.643
F  0.367  0.005  0.143
F  0.367  0.362  0.357
F  0.633  0.638  0.643
F  0.633  0.995  0.857
F  0.638  0.005  0.357
F  0.638  0.633  0.143
F  0.995  0.362  0.143
F  0.995  0.633  0.357